(1)
## Cs2CaCd2O4 (PBE-GGA)

Data for a geometry-optimized Cs2CaCd2O4 structure.

Computed properties:
- ΔE_f (raw): -1.41 eV/atom
- Calculated volume: 186.60 Å³ per cell

Cell and atoms, written as POSCAR:
```
Cs2CaCd2O4
1.0
-1.0431 3.6158 -0.1992
-1.7516 -0.1230 6.9422
7.5303 0.1780 -0.5551
Cs Ca Cd O
2 1 2 4
Cartesian
0.8847 0.4409 3.3711
3.8508 3.2299 2.8169
0.0000 0.0000 0.0000
0.1047 2.3468 6.4046
4.6308 1.3240 -0.2166
2.5665 0.7834 0.7803
2.1690 2.8875 5.4077
-1.7165 1.7661 5.4000
6.4520 1.9047 0.7880
```


(2)
## HfTiGaPt2 (PBE-GGA)

Data for a geometry-optimized HfTiGaPt2 structure.

Computed properties:
- Energy of formation from the pure elements: 2.66 eV/f.u.
- Calculated volume: 109.05 Å³ per cell

Cell and atoms, written as POSCAR:
```
HfTiGaPt2
1.0
4.6760 0.0000 0.0000
0.0000 4.9873 0.0000
0.0000 0.0000 4.6760
Hf Ga Pt Ti
1 1 2 1
Cartesian
0.0000 2.4936 0.0000
2.3380 2.4936 2.3380
0.0000 0.0000 2.3380
2.3380 0.0000 0.0000
0.0000 0.0000 0.0000
```


(3)
## SnHPd3 (PBE-GGA)

Data for a geometry-optimized SnHPd3 structure.

Computed properties:
- Distance to the lowest polymorph of the same formula: 2.9 kJ/mol of atoms
- Calculated volume: 141.57 Å³ per cell

Cell and atoms, written as POSCAR:
```
SnHPd3
1.0
5.7722 -0.1407 0.0172
-0.7768 5.7216 -0.0177
0.0337 -0.0296 4.3008
H Sn Pd
2 2 6
Cartesian
2.1006 3.4282 0.9688
0.6385 1.7919 0.9689
3.4950 0.7090 4.2428
5.0507 4.3410 2.0129
0.7107 0.2915 4.1574
4.9445 1.5274 2.0986
2.1240 1.9359 2.0765
2.0622 4.8991 2.0812
0.6489 3.2545 4.1619
3.6006 3.5226 4.1570
```